1.
Entry from the Alexandria database: crystalline CsNdTe2O8 at its relaxed geometry (PBE).

Cell: 6.071 6.071 8.959 Å, 90.00 90.00 120.00°
Fractional coordinates of all 12 atoms:
O 0.117 0.344 0.663
O 0.344 0.227 0.337
O 0.883 0.656 0.337
O 0.773 0.117 0.337
O 0.227 0.883 0.663
O 0.667 0.333 0.062
O 0.656 0.773 0.663
O 0.333 0.667 0.938
Te 0.333 0.667 0.735
Te 0.667 0.333 0.265
Nd 0.000 0.000 0.500
Cs 0.000 0.000 0.000

The raw total energy comes out at -5.86 eV per atom. Its uncorrected formation energy is -1.565 eV per atom. The symmetry is P-3.

=====

2.
Entry from the Alexandria database: crystalline MgReRh2F at its relaxed geometry (PBE).

Cell: 4.555 3.553 4.555 Å, 90.00 90.00 90.00°
Last column: magnetic moment on the atom in μB.
Fractional coordinates of all 5 atoms:
Re 0.500 0.500 0.500  1.53
Rh 0.000 0.000 0.500  0.30
Rh 0.500 0.000 0.000  0.33
Mg 0.000 0.500 0.000  -0.01
F 0.000 0.000 0.000  -0.02

The raw total energy comes out at -5.89 eV per atom. Its uncorrected formation energy is 0.235 eV per atom. The symmetry is P4/mmm.

=====

3.
Entry from the Alexandria database: crystalline K2YZr at its relaxed geometry (PBE).

Cell: 6.061 6.061 6.061 Å, 120.15 120.15 89.73°
Last column: magnetic moment on the atom in μB.
Fractional coordinates of all 4 atoms:
K 0.250 0.750 0.500  0.03
K 0.000 0.000 0.000  0.04
Zr 0.750 0.250 0.500  1.54
Y 0.500 0.500 0.000  0.64

The raw total energy comes out at -3.33 eV per atom. The formation enthalpy at 0 K comes out at 93.6 kJ per mole of atoms. The excess energy over the best structure of this formula in the dataset is 581 meV/atom. The symmetry is I-4m2.

=====

What did the second record say?
Entry from the Alexandria database: crystalline MgReRh2F at its relaxed geometry (PBE).

Cell: 4.555 3.553 4.555 Å, 90.00 90.00 90.00°
Last column: magnetic moment on the atom in μB.
Fractional coordinates of all 5 atoms:
Re 0.500 0.500 0.500  1.53
Rh 0.000 0.000 0.500  0.30
Rh 0.500 0.000 0.000  0.33
Mg 0.000 0.500 0.000  -0.01
F 0.000 0.000 0.000  -0.02

The raw total energy comes out at -5.89 eV per atom. Its uncorrected formation energy is 0.235 eV per atom. The symmetry is P4/mmm.